Here is crystalline LaClF2 at its relaxed geometry from Alexandria. Energies are from GGA-PBE.

Output
**Crystal system**: tetragonal
**VASP energy**: -47.39 eV for the cell shown
**Energy relative to the elements, uncorrected**: -3.29 eV/atom

a b c (Å): 8.3878 8.3878 8.3878
angles (deg): 146.79 146.79 47.67
Fractional coordinates of all 8 atoms:
La 0.0000 0.0000 0.0000
La 0.7500 0.2500 0.5000
Cl 0.2500 0.7500 0.5000
Cl 0.5000 0.5000 0.0000
F 0.3750 0.1937 0.3187
F 0.8063 0.1250 0.1813
F 0.8750 0.0563 0.6813
F 0.9437 0.6250 0.8187



Here is crystalline InGaP2 at its relaxed geometry from Alexandria. Energies are from GGA-PBE.

Output
**Crystal system**: trigonal
**VASP energy**: -17.68 eV for the cell shown

a b c (Å): 7.0352 7.0352 7.0352
angles (deg): 33.47 33.47 33.47
Fractional coordinates of all 4 atoms:
In 0.0000 0.0000 0.0000
Ga 0.5003 0.5003 0.5003
P 0.3810 0.3810 0.3810
P 0.8707 0.8707 0.8707



Here is crystalline Zr2MoW at its relaxed geometry from Alexandria. Energies are from GGA-PBE.

Output
**Crystal system**: trigonal
**VASP energy**: -39.27 eV for the cell shown

a b c (Å): 9.0165 9.0165 9.0165
angles (deg): 20.28 20.28 20.28
Fractional coordinates of all 4 atoms:
Zr 0.2486 0.2486 0.2486
Zr 0.7514 0.7514 0.7514
Mo 0.5000 0.5000 0.5000
W 0.0000 0.0000 0.0000



Here is crystalline Li2CaDy2Ge2 at its relaxed geometry from Alexandria. Energies are from GGA-PBE.

Output
**Crystal system**: trigonal
**VASP energy**: -27.61 eV for the cell shown

a b c (Å): 9.3568 9.3568 9.3568
angles (deg): 28.11 28.11 28.11
Fractional coordinates of all 7 atoms:
Li 0.0953 0.0953 0.0953
Li 0.9047 0.9047 0.9047
Ca 0.5000 0.5000 0.5000
Dy 0.3719 0.3719 0.3719
Dy 0.6281 0.6281 0.6281
Ge 0.2445 0.2445 0.2445
Ge 0.7555 0.7555 0.7555



Here is crystalline LiY2NpO6 at its relaxed geometry from Alexandria. Energies are from GGA-PBE.

Output
**Crystal system**: trigonal
**VASP energy**: -87.90 eV for the cell shown
**Energy relative to the elements, uncorrected**: -3.04 eV/atom

a b c (Å): 6.0461 6.0461 6.0461
angles (deg): 56.80 56.80 56.80
Fractional coordinates of all 10 atoms:
Li 0.0000 0.0000 0.0000
Y 0.2655 0.2655 0.2655
Y 0.7731 0.7731 0.7731
Np 0.4755 0.4755 0.4755
O 0.0997 0.6674 0.3793
O 0.1933 0.5712 0.8550
O 0.3793 0.0997 0.6674
O 0.5712 0.8550 0.1933
O 0.6674 0.3793 0.0997
O 0.8550 0.1933 0.5712



Here is crystalline Hf2SbAs at its relaxed geometry from Alexandria. Energies are from GGA-PBE.

Output
**Crystal system**: tetragonal
**VASP energy**: -57.52 eV for the cell shown
**Energy relative to the elements, uncorrected**: -0.02 eV/atom

a b c (Å): 7.6500 7.6500 7.6500
angles (deg): 131.97 131.97 70.27
Fractional coordinates of all 8 atoms:
Hf 0.0949 0.6250 0.9699
Hf 0.3750 0.3449 0.4699
Hf 0.6551 0.1250 0.0301
Hf 0.8750 0.9051 0.5301
Sb 0.2500 0.7500 0.5000
Sb 0.5000 0.5000 0.0000
As 0.0000 0.0000 0.0000
As 0.7500 0.2500 0.5000



Here is crystalline KCaCo2 at its relaxed geometry from Alexandria. Energies are from GGA-PBE.

Output
**Crystal system**: orthorhombic
**VASP energy**: -13.17 eV for the cell shown

a b c (Å): 5.0864 5.0864 3.6789
angles (deg): 90.00 90.00 110.53
Fractional coordinates of all 4 atoms:
K 0.0000 0.0000 0.0000
Ca 0.5000 0.5000 0.0000
Co 0.0000 0.5000 0.5000
Co 0.5000 0.0000 0.5000



Here is crystalline AlZn2Ni at its relaxed geometry from Alexandria. Energies are from GGA-PBE.

Output
**Crystal system**: tetragonal
**VASP energy**: -12.92 eV for the cell shown

a b c (Å): 4.5731 4.5731 4.5731
angles (deg): 131.00 131.00 71.82
Fractional coordinates of all 4 atoms:
Al 0.0000 0.0000 0.0000
Zn 0.2500 0.7500 0.5000
Zn 0.5000 0.5000 0.0000
Ni 0.7500 0.2500 0.5000



Here is crystalline Zr2MoBr at its relaxed geometry from Alexandria. Energies are from GGA-PBE.

Output
**Crystal system**: tetragonal
**VASP energy**: -28.94 eV for the cell shown
**Energy relative to the elements, uncorrected**: 0.16 eV/atom

a b c (Å): 3.4741 3.4741 7.6013
angles (deg): 90.00 90.00 90.00
Fractional coordinates of all 4 atoms:
Zr 0.0000 0.0000 0.0000
Zr 0.5000 0.5000 0.2342
Mo 0.5000 0.5000 0.8378
Br 0.0000 0.0000 0.4504



Here is crystalline ScSiI2O at its relaxed geometry from Alexandria. Energies are from GGA-PBE.

Output
**Crystal system**: tetragonal
**VASP energy**: -22.14 eV for the cell shown
**Energy relative to the elements, uncorrected**: -0.47 eV/atom

a b c (Å): 5.7648 5.7648 3.5514
angles (deg): 90.00 90.00 90.00
Fractional coordinates of all 5 atoms:
Sc 0.0000 0.0000 0.0000
Si 0.5000 0.5000 0.5000
I 0.0000 0.5000 0.5000
I 0.5000 0.0000 0.5000
O 0.5000 0.5000 0.0000